## ZnAgPb2 (SCAN)

Data for a PBEsol-optimized structure of ZnAgPb2.

abc: 3.332 3.332 8.136
angles: 90.00 90.00 90.00
Positions (direct):
Pb: 0.000 0.000 0.951
Pb: 0.500 0.500 0.300
Zn: 0.000 0.000 0.547
Ag: 0.500 0.500 0.702

Output
* D(E_F): 1.20 states/eV/f.u.
* DFT total energy: -49.028 eV/atom
* energy relative to the elements: 0.083 eV per atom